The following is a PBE+U calculation of a geometry-optimized UCr2FeO8 structure, from the Alexandria database.

The structure in POSCAR format:
```
UCr2FeO8
1.0
3.3337 -3.3375 0.0000
3.3337 3.3375 0.0000
0.0000 0.0000 6.2709
U Cr Fe O
1 2 1 8
direct
0.0000 0.0000 0.0000 U
0.5000 0.5000 0.2620 Cr
0.5000 0.5000 0.7380 Cr
0.0000 0.0000 0.5000 Fe
0.1987 0.1987 0.2567 O
0.1987 0.1987 0.7433 O
0.3100 0.6900 0.5000 O
0.3129 0.6871 0.0000 O
0.6871 0.3129 0.0000 O
0.6900 0.3100 0.5000 O
0.8013 0.8013 0.2567 O
0.8013 0.8013 0.7433 O
```

D(E_F) = 3.50 states/eV/f.u.
Calculated total energy = -96.7 eV/cell